Density functional theory data (GGA-PBE) for a geometry-optimized LiTeSeN2 structure.

V = 18.28 Å³/atom
E_form (uncorrected) = 1.2584 eV/atom
ΔE to the lowest computed polymorph = 0.273 eV/atom

Cell: 3.824 3.824 6.252 Å, 90.00 90.00 90.00°
Space group P4/mmm (No. 123)
One atom of each set of equivalent atoms:
Li1 0.000 0.000 0.000 (multiplicity 1)
Te1 0.500 0.500 0.000 (multiplicity 1)
Se1 0.500 0.500 0.500 (multiplicity 1)
N1 0.000 0.500 0.500 (multiplicity 2)